[1]
A plane-wave DFT calculation with PBE-GGA was carried out for a relaxed Co2RuSe crystal.

abc: 2.7786 2.7786 23.5718
angles: 90.00 90.00 120.00
Space group R-3m (No. 166, hexagonal axes)
Inequivalent atoms, fractional coordinates:
Co  0.0000  0.0000  0.2470
Ru  0.0000  0.0000  0.0000
Se  0.0000  0.0000  0.5000

## Properties
DOS at the Fermi energy = 1.392 states/eV/atom
M_tot = 0.53 μB per atom
V = 157.6 Å³/cell

***

[2]
A plane-wave DFT calculation with PBE-GGA was carried out for a relaxed CoRuSe4 crystal.

abc: 6.9720 4.9190 7.0259
angles: 90.00 115.35 90.00
Space group P2_1/c (No. 14)
Inequivalent atoms, fractional coordinates:
Co  0.0000  0.0000  0.0000
Ru  0.5000  0.0000  0.5000
Se  0.1805  0.2099  0.8145
Se  0.3074  0.7150  0.1848

## Properties
E above lowest polymorph = 0.0 meV/atom
DOS at the Fermi energy = 0.312 states/eV/atom
M_tot = 0.16 μB per atom
V = 217.8 Å³/cell

***

[3]
A plane-wave DFT calculation with PBE-GGA was carried out for a relaxed Co2Ru2Se crystal.

abc: 3.4808 3.4808 12.0978
angles: 90.00 90.00 90.00
Space group I4/mmm (No. 139)
Inequivalent atoms, fractional coordinates:
Co  0.0000  0.0000  0.0986
Ru  0.0000  0.5000  0.2500
Se  0.0000  0.0000  0.5000

## Properties
DOS at the Fermi energy = 1.419 states/eV/atom
M_tot = 0.12 μB per atom
V = 146.6 Å³/cell

***

[4]
A plane-wave DFT calculation with PBE-GGA was carried out for a relaxed Co2RuSe crystal.

abc: 2.8277 3.8364 5.0380
angles: 90.00 106.29 90.00
Space group P2/m (No. 10)
Inequivalent atoms, fractional coordinates:
Co  0.1289  0.0000  0.2547
Ru  0.5000  0.5000  0.0000
Se  0.5000  0.5000  0.5000

## Properties
DOS at the Fermi energy = 1.164 states/eV/atom
M_tot = 0.68 μB per atom
V = 52.5 Å³/cell

***

[5]
A plane-wave DFT calculation with PBE-GGA was carried out for a relaxed Co2RuSe crystal.

abc: 2.9881 4.1301 8.4706
angles: 90.00 90.00 90.00
Space group Imm2 (No. 44)
Inequivalent atoms, fractional coordinates:
Co  0.0000  0.0000  0.0000
Co  0.0000  0.5000  0.2280
Ru  0.0000  0.5000  0.7764
Se  0.0000  0.0000  0.5092

## Properties
DOS at the Fermi energy = 1.044 states/eV/atom
M_tot = 0.76 μB per atom
V = 104.5 Å³/cell

***

[6]
A plane-wave DFT calculation with PBE-GGA was carried out for a relaxed Co2RuSe crystal.

abc: 5.0556 7.2456 2.7938
angles: 90.00 90.00 90.00
Space group Cmmm (No. 65)
Inequivalent atoms, fractional coordinates:
Co  0.2500  0.2500  0.0000
Ru  0.0000  0.0000  0.5000
Se  0.0000  0.5000  0.5000

## Properties
DOS at the Fermi energy = 1.343 states/eV/atom
M_tot = 0.10 μB per atom
V = 102.3 Å³/cell

***

[7]
A plane-wave DFT calculation with PBE-GGA was carried out for a relaxed Co2RuSe crystal.

abc: 3.7269 3.7269 7.4833
angles: 90.00 90.00 90.00
Space group I4/mmm (No. 139)
Inequivalent atoms, fractional coordinates:
Co  0.0000  0.5000  0.2500
Ru  0.0000  0.0000  0.0000
Se  0.0000  0.0000  0.5000

## Properties
DOS at the Fermi energy = 1.615 states/eV/atom
M_tot = 0.78 μB per atom
V = 103.9 Å³/cell

***

[8]
A plane-wave DFT calculation with PBE-GGA was carried out for a relaxed CoRu3Se crystal.

abc: 4.4499 4.4499 4.4499
angles: 90.00 90.00 90.00
Space group Pm-3m (No. 221)
Inequivalent atoms, fractional coordinates:
Co  0.0000  0.0000  0.0000
Ru  0.0000  0.0000  0.5000
Se  0.5000  0.5000  0.5000

## Properties
E above lowest polymorph = 176.0 meV/atom
DOS at the Fermi energy = 1.573 states/eV/atom
M_tot = 0.76 μB per atom
V = 88.1 Å³/cell

***

Computed formation energy from raw total energies (eV/atom) in order:
0.35, -0.34, 0.58, 0.31, 0.31, 0.35, 0.41, 1.47
Computed raw total energy (eV per atom) in order:
-6.389, -5.394, -6.666, -6.430, -6.428, -6.391, -6.329, -6.213